Below is crystalline Tb6PmSc3 at its relaxed geometry, with properties calculated at the GGA-PBE level.

Results
Distance to the lowest polymorph of the same formula ... 0.0 meV per atom
Fermi-level density of states ... 25.30 states/eV per cell
Total energy ... -4.99 eV/atom
Total magnetic moment ... 0.00 μB/cell
Energy of formation from the pure elements ... 0.16 eV per atom
Crystal system ... orthorhombic

```
20
Lattice="5.103 -9.450 0.000 5.103 9.450 0.000 0.000 0.000 6.266" Properties=species:S:1:pos:R:3 pbc="T T T"
Tb 2.340 3.813 0.096
Tb 5.103 8.614 3.133
Tb 3.358 0.633 1.159
Tb 5.103 3.511 2.083
Tb 3.358 -0.633 4.292
Tb 2.340 -3.813 3.229
Tb 7.867 3.813 0.096
Tb 6.849 0.633 1.159
Tb 5.103 -3.511 5.216
Tb 6.849 -0.633 4.292
Tb 5.103 -8.614 0.000
Tb 7.867 -3.813 3.229
Pm 5.103 5.411 5.418
Pm 5.103 -5.411 2.285
Sc 1.993 2.197 3.621
Sc 1.993 -2.197 0.488
Sc 5.103 2.167 4.977
Sc 5.103 -2.167 1.844
Sc 8.214 2.197 3.621
Sc 8.214 -2.197 0.488
```